Material: Rb2TlAgCl6
Method: DFT, meta-GGA SCAN
State: PBEsol geometry

Output
space group: No. 225
formation energy from raw total energies: -1.3395 eV per atom
Fermi-level density of states: 0.151 states/eV/atom

Cell lengths 7.348, 7.348, 7.348 Å; angles 60.00, 60.00, 60.00 degrees
Fractional coordinates of all 10 atoms:
Rb1 0.750 0.750 0.750
Rb2 0.250 0.250 0.250
Tl1 0.000 0.000 0.000
Ag1 0.500 0.500 0.500
Cl1 0.748 0.252 0.252
Cl2 0.748 0.748 0.252
Cl3 0.252 0.748 0.748
Cl4 0.748 0.252 0.748
Cl5 0.252 0.748 0.252
Cl6 0.252 0.252 0.748



Material: ReAg2Cl6
Method: DFT, meta-GGA SCAN
State: PBEsol geometry

Output
space group: No. 148
formation energy from raw total energies: -0.6533 eV per atom

Cell lengths 6.447, 6.447, 6.730 Å; angles 61.38, 61.38, 60.00 degrees
Last column: magnetic moment on the atom in μB.
Fractional coordinates of all 9 atoms:
Re1 0.500 0.500 0.500  2.03
Ag1 0.276 0.276 0.171  0.04
Ag2 0.724 0.724 0.829  0.04
Cl1 0.623 0.855 0.257  0.05
Cl2 0.266 0.623 0.257  0.05
Cl3 0.855 0.266 0.257  0.05
Cl4 0.377 0.145 0.743  0.05
Cl5 0.734 0.377 0.743  0.05
Cl6 0.145 0.734 0.743  0.05



Material: Re2AgCl
Method: DFT, meta-GGA SCAN
State: PBEsol geometry

Output
space group: No. 216
formation energy from raw total energies: 1.2776 eV per atom
Fermi-level density of states: 0.657 states/eV/atom

Cell lengths 4.441, 4.441, 4.441 Å; angles 60.00, 60.00, 60.00 degrees
Fractional coordinates of all 4 atoms:
Re1 0.000 0.000 0.000
Re2 0.750 0.750 0.750
Ag1 0.500 0.500 0.500
Cl1 0.250 0.250 0.250



Material: Ag2RhCl
Method: DFT, meta-GGA SCAN
State: PBEsol geometry

Output
relative energy among the computed polymorphs: 0.147 eV per atom
space group: No. 65
formation energy from raw total energies: 0.3223 eV per atom
Fermi-level density of states: 0.586 states/eV/atom

Cell lengths 2.857, 5.046, 5.046 Å; angles 116.85, 90.00, 90.00 degrees
Fractional coordinates of all 4 atoms:
Rh1 0.500 0.500 0.500
Ag1 0.000 0.500 0.000
Ag2 0.000 0.000 0.500
Cl1 0.500 0.000 0.000



Material: AgRhCl2
Method: DFT, meta-GGA SCAN
State: PBEsol geometry

Output
relative energy among the computed polymorphs: 0.078 eV per atom
space group: No. 47
formation energy from raw total energies: 0.0581 eV per atom
Fermi-level density of states: 0.436 states/eV/atom

Cell lengths 3.150, 3.871, 5.807 Å; angles 90.00, 90.00, 90.00 degrees
Last column: magnetic moment on the atom in μB.
Fractional coordinates of all 4 atoms:
Rh1 0.500 0.500 0.000  1.32
Ag1 0.000 0.500 0.500  0.03
Cl1 0.000 0.000 0.000  0.05
Cl2 0.500 0.000 0.500  0.04



Material: Ag2RhCl
Method: DFT, meta-GGA SCAN
State: PBEsol geometry

Output
relative energy among the computed polymorphs: 0.177 eV per atom
space group: No. 47
formation energy from raw total energies: 0.3521 eV per atom
Fermi-level density of states: 0.542 states/eV/atom

Cell lengths 2.975, 4.476, 4.828 Å; angles 90.00, 90.00, 90.00 degrees
Fractional coordinates of all 4 atoms:
Rh1 0.000 0.500 0.500
Ag1 0.000 0.000 0.000
Ag2 0.500 0.500 0.000
Cl1 0.500 0.000 0.500



Material: Ag2RhCl
Method: DFT, meta-GGA SCAN
State: PBEsol geometry

Output
relative energy among the computed polymorphs: 0.169 eV per atom
space group: No. 12
formation energy from raw total energies: 0.3443 eV per atom
Fermi-level density of states: 0.568 states/eV/atom

Cell lengths 2.936, 4.526, 5.352 Å; angles 108.29, 105.92, 90.00 degrees
Fractional coordinates of all 4 atoms:
Rh1 0.500 0.000 0.000
Ag1 0.244 0.244 0.489
Ag2 0.756 0.756 0.511
Cl1 0.000 0.500 0.000



Material: AgRhCl2
Method: DFT, meta-GGA SCAN
State: PBEsol geometry

Output
relative energy among the computed polymorphs: 0.000 eV per atom
space group: No. 8
formation energy from raw total energies: -0.0203 eV per atom
Fermi-level density of states: 0.738 states/eV/atom

Cell lengths 3.247, 3.294, 7.500 Å; angles 102.64, 102.50, 90.00 degrees
Fractional coordinates of all 4 atoms:
Rh1 0.537 0.537 0.073
Ag1 0.192 0.691 0.383
Cl1 0.992 0.993 0.983
Cl2 0.780 0.279 0.560



Number 1: E_tot -20.65 eV per atom. Number 2: E_tot -20.84 eV per atom. Number 3: E_tot -44.11 eV per atom. Number 4: E_tot -25.80 eV per atom. Number 5: E_tot -20.22 eV per atom. Number 6: E_tot -25.77 eV per atom. Number 7: E_tot -25.78 eV per atom. Number 8: E_tot -20.29 eV per atom.